1.
First-principles (GGA-PBE) data for a relaxed structure of ScMoPt, as listed in the Alexandria database.

**Total magnetization**: 0.0 μB/f.u.
**Energy above the most stable polymorph in this dataset**: 112 meV per atom
**Energy of formation from the pure elements**: -0.272 eV/atom

a = 2.9748 Å, b = 3.6538 Å, c = 9.4916 Å
α = 90.00°, β = 90.00°, γ = 90.00°
Last column: nearest neighbours and their distance in Å.
Space group Imm2 (No. 44)
One atom of each set of equivalent atoms:
Sc 0.0000 0.0000 0.0000  5 Pt 2.84-3.16, 5 Mo 2.90-3.06, 2 Sc 2.97
Mo 0.0000 0.0000 0.6778  4 Pt 2.78, 5 Sc 2.90-3.06, 2 Mo 2.97
Pt 0.0000 0.0000 0.3332  4 Mo 2.78, 4 Sc 2.84, 2 Pt 2.97


2.
First-principles (GGA-PBE) data for a relaxed structure of ScMoPt4, as listed in the Alexandria database.

**Total magnetization**: 2.7 μB/f.u.
**Energy of formation from the pure elements**: -0.331 eV/atom

a = 7.4490 Å, b = 7.4490 Å, c = 7.4490 Å
α = 90.00°, β = 90.00°, γ = 90.00°
Last column: nearest neighbours and their distance in Å.
Space group F-43m (No. 216)
One atom of each set of equivalent atoms:
Sc 0.0000 0.0000 0.0000  12 Pt 3.09, 4 Mo 3.23
Mo 0.2500 0.2500 0.7500  12 Pt 3.09, 4 Sc 3.23
Pt 0.1247 0.1247 0.3753  6 Pt 2.63-2.64


3.
First-principles (GGA-PBE) data for a relaxed structure of ScMoPt, as listed in the Alexandria database.

**Total magnetization**: 0.0 μB/f.u.
**Energy above the most stable polymorph in this dataset**: 284 meV per atom
**Energy of formation from the pure elements**: -0.100 eV/atom

a = 2.9643 Å, b = 2.9643 Å, c = 6.8508 Å
α = 90.00°, β = 90.00°, γ = 120.00°
Last column: nearest neighbours and their distance in Å.
Space group P3m1 (No. 156)
One atom of each set of equivalent atoms:
Sc 0.0000 0.0000 0.0000  3 Pt 2.85, 3 Mo 2.92, 6 Sc 2.96
Mo 0.6667 0.3333 0.3452  3 Pt 2.79, 3 Sc 2.92, 6 Mo 2.96
Pt 0.3333 0.6667 0.6675  3 Mo 2.79, 3 Sc 2.85, 6 Pt 2.96


4.
First-principles (GGA-PBE) data for a relaxed structure of ScMoPt2, as listed in the Alexandria database.

**Total magnetization**: 0.0 μB/f.u.
**Energy of formation from the pure elements**: -0.537 eV/atom

a = 4.0440 Å, b = 4.0440 Å, c = 8.0062 Å
α = 90.00°, β = 90.00°, γ = 90.00°
Last column: nearest neighbours and their distance in Å.
Space group I4/mmm (No. 139)
One atom of each set of equivalent atoms:
Sc 0.0000 0.0000 0.0000  8 Pt 2.85, 4 Mo 2.86
Mo 0.0000 0.0000 0.5000  8 Pt 2.85, 4 Sc 2.86
Pt 0.0000 0.5000 0.2500  4 Mo 2.85, 4 Sc 2.85, 4 Pt 2.86


5.
First-principles (GGA-PBE) data for a relaxed structure of ScMoPt2, as listed in the Alexandria database.

**Total magnetization**: 0.0 μB/f.u.
**Energy of formation from the pure elements**: -0.646 eV/atom

a = 2.8480 Å, b = 2.8480 Å, c = 8.0407 Å
α = 90.00°, β = 90.00°, γ = 90.00°
Last column: nearest neighbours and their distance in Å.
Space group P4/mmm (No. 123)
One atom of each set of equivalent atoms:
Sc 0.0000 0.0000 0.0000  4 Sc 2.85, 8 Pt 2.88
Mo 0.0000 0.0000 0.5000  8 Pt 2.81, 4 Mo 2.85
Pt 0.5000 0.5000 0.2566  4 Mo 2.81, 4 Pt 2.85, 4 Sc 2.88


6.
First-principles (GGA-PBE) data for a relaxed structure of Sc2MoPt9, as listed in the Alexandria database.

**Total magnetization**: 0.6 μB/f.u.
**Energy of formation from the pure elements**: -0.786 eV/atom

a = 3.9917 Å, b = 3.9917 Å, c = 12.0275 Å
α = 90.00°, β = 90.00°, γ = 90.00°
Last column: nearest neighbours and their distance in Å.
Space group P4/mmm (No. 123)
One atom of each set of equivalent atoms:
Sc 0.0000 0.0000 0.1629  12 Pt 2.80-2.92
Mo 0.0000 0.0000 0.5000  12 Pt 2.78-2.82
Pt 0.0000 0.5000 0.0000  4 Sc 2.80, 8 Pt 2.82-2.85
Pt 0.0000 0.5000 0.3396  2 Mo 2.78, 8 Pt 2.78-2.86, 2 Sc 2.92
Pt 0.5000 0.5000 0.1693  4 Sc 2.82, 8 Pt 2.85-2.86
Pt 0.5000 0.5000 0.5000  8 Pt 2.78, 4 Mo 2.82


Number 1: E -8.006 eV/atom. Number 2: E -7.219 eV/atom. Number 3: E -7.834 eV/atom. Number 4: E -7.848 eV/atom. Number 5: E -7.957 eV/atom. Number 6: E -7.274 eV/atom.